# 1
# BePI2N

Crystalline BePI2N at its relaxed geometry (PBE, the Alexandria database). Values from VASP.

Values from the calculation:
- total moment (μB per formula unit) = 0.2
- calculated density (g/cm³) = 4.3
- space-group type = P4/mmm, No. 123
- calculated volume (Å³/f.u.) = 118
- ΔE_f (raw) (eV/atom) = 0.96
- D(E_F) (states/eV per cell) = 2.417
- energy above the most stable polymorph in this dataset (meV per atom) = 134

```
&SYSTEM
  ibrav = 0, nat = 5, ntyp = 4
/
ATOMIC_SPECIES
Be 9.01 Be.upf
P 30.97 P.upf
I 126.90 I.upf
N 14.01 N.upf
CELL_PARAMETERS angstrom
5.955 0.000 0.000
0.000 5.955 0.000
0.000 0.000 3.323
ATOMIC_POSITIONS angstrom
Be 0.000 0.000 0.000
P 2.978 2.978 1.662
I 0.000 2.978 1.662
I 2.978 0.000 1.662
N 2.978 2.978 0.000
```

# 2
# BePI2N

Crystalline BePI2N at its relaxed geometry (PBE, the Alexandria database). Values from VASP.

Values from the calculation:
- total moment (μB per formula unit) = 0.0
- calculated density (g/cm³) = 5.1
- space-group type = P4/mmm, No. 123
- calculated volume (Å³/f.u.) = 99
- ΔE_f (raw) (eV/atom) = 0.83
- D(E_F) (states/eV per cell) = 5.132
- energy above the most stable polymorph in this dataset (meV per atom) = 0

```
&SYSTEM
  ibrav = 0, nat = 5, ntyp = 4
/
ATOMIC_SPECIES
Be 9.01 Be.upf
P 30.97 P.upf
I 126.90 I.upf
N 14.01 N.upf
CELL_PARAMETERS angstrom
5.605 0.000 0.000
0.000 5.605 0.000
0.000 0.000 3.163
ATOMIC_POSITIONS angstrom
Be 0.000 0.000 0.000
P 2.802 2.802 1.582
I 0.000 2.802 0.000
I 2.802 0.000 0.000
N 0.000 0.000 1.582
```

# 3
# BePIN2

Crystalline BePIN2 at its relaxed geometry (PBE, the Alexandria database). Values from VASP.

Values from the calculation:
- total moment (μB per formula unit) = 0.6
- calculated density (g/cm³) = 3.8
- space-group type = P4/mmm, No. 123
- calculated volume (Å³/f.u.) = 84
- ΔE_f (raw) (eV/atom) = 1.02
- D(E_F) (states/eV per cell) = 1.198
- energy above the most stable polymorph in this dataset (meV per atom) = 0

```
&SYSTEM
  ibrav = 0, nat = 5, ntyp = 4
/
ATOMIC_SPECIES
Be 9.01 Be.upf
P 30.97 P.upf
I 126.90 I.upf
N 14.01 N.upf
CELL_PARAMETERS angstrom
3.443 0.000 0.000
0.000 3.443 0.000
0.000 0.000 7.116
ATOMIC_POSITIONS angstrom
Be 0.000 0.000 0.000
P 1.722 1.722 3.558
I 1.722 1.722 0.000
N 0.000 1.722 3.558
N 1.722 0.000 3.558
```

Please write out number 3 again, unchanged.
# BePIN2

Crystalline BePIN2 at its relaxed geometry (PBE, the Alexandria database). Values from VASP.

Values from the calculation:
- total moment (μB per formula unit) = 0.6
- calculated density (g/cm³) = 3.8
- space-group type = P4/mmm, No. 123
- calculated volume (Å³/f.u.) = 84
- ΔE_f (raw) (eV/atom) = 1.02
- D(E_F) (states/eV per cell) = 1.198
- energy above the most stable polymorph in this dataset (meV per atom) = 0

```
&SYSTEM
  ibrav = 0, nat = 5, ntyp = 4
/
ATOMIC_SPECIES
Be 9.01 Be.upf
P 30.97 P.upf
I 126.90 I.upf
N 14.01 N.upf
CELL_PARAMETERS angstrom
3.443 0.000 0.000
0.000 3.443 0.000
0.000 0.000 7.116
ATOMIC_POSITIONS angstrom
Be 0.000 0.000 0.000
P 1.722 1.722 3.558
I 1.722 1.722 0.000
N 0.000 1.722 3.558
N 1.722 0.000 3.558
```

Copy entry 2 word for word.
# BePI2N

Crystalline BePI2N at its relaxed geometry (PBE, the Alexandria database). Values from VASP.

Values from the calculation:
- total moment (μB per formula unit) = 0.0
- calculated density (g/cm³) = 5.1
- space-group type = P4/mmm, No. 123
- calculated volume (Å³/f.u.) = 99
- ΔE_f (raw) (eV/atom) = 0.83
- D(E_F) (states/eV per cell) = 5.132
- energy above the most stable polymorph in this dataset (meV per atom) = 0

```
&SYSTEM
  ibrav = 0, nat = 5, ntyp = 4
/
ATOMIC_SPECIES
Be 9.01 Be.upf
P 30.97 P.upf
I 126.90 I.upf
N 14.01 N.upf
CELL_PARAMETERS angstrom
5.605 0.000 0.000
0.000 5.605 0.000
0.000 0.000 3.163
ATOMIC_POSITIONS angstrom
Be 0.000 0.000 0.000
P 2.802 2.802 1.582
I 0.000 2.802 0.000
I 2.802 0.000 0.000
N 0.000 0.000 1.582
```

Look up the calculated density of the first one.
4.3 g/cm³

The highest D(E_F) belongs to which entry?
number 2